Record 1
The following is a DFT calculation (PBE+U) of a relaxed TbErV2O8 crystal.

a = 5.998 Å, b = 5.998 Å, c = 5.998 Å
α = 106.25°, β = 106.25°, γ = 116.13°
Element x y z (fractional)
1 O 0.925 0.239 0.314
2 O 0.761 0.075 0.686
3 O 0.389 0.075 0.314
4 O 0.861 0.678 0.184
5 O 0.925 0.611 0.686
6 O 0.322 0.506 0.184
7 O 0.494 0.678 0.816
8 O 0.322 0.139 0.816
9 V 0.500 0.500 0.000
10 V 0.750 0.250 0.500
11 Er 0.000 0.000 0.000
12 Tb 0.250 0.750 0.500

Crystal system   tetragonal
Raw total energy   -8.058 eV/atom
Symmetry   No. 119

=====

Record 2
The following is a DFT calculation (PBE+U) of a relaxed Tb2ErVO6 crystal.

a = 5.654 Å, b = 5.653 Å, c = 5.895 Å
α = 61.37°, β = 61.33°, γ = 59.98°
Element x y z (fractional)
1 O 0.433 0.680 0.769
2 O 0.955 0.593 0.255
3 O 0.680 0.118 0.769
4 O 0.197 0.955 0.255
5 O 0.593 0.197 0.255
6 O 0.118 0.433 0.769
7 Tb 0.027 0.027 0.918
8 Tb 0.532 0.532 0.403
9 Er 0.809 0.809 0.572
10 V 0.316 0.317 0.050

Crystal system   trigonal
Raw total energy   -8.250 eV/atom
Symmetry   No. 146

=====

Record 3
The following is a DFT calculation (PBE+U) of a relaxed Tb2ErWO8 crystal.

a = 5.075 Å, b = 5.074 Å, c = 6.802 Å
α = 90.00°, β = 90.00°, γ = 90.89°
Element x y z (fractional)
1 O 0.181 0.818 0.214
2 O 0.725 0.727 0.000
3 O 0.695 0.696 0.500
4 O 0.305 0.304 0.500
5 O 0.819 0.182 0.214
6 O 0.819 0.182 0.786
7 O 0.275 0.273 0.000
8 O 0.181 0.818 0.786
9 Er 0.000 0.000 0.500
10 Tb 0.500 0.500 0.251
11 Tb 0.500 0.500 0.749
12 W 0.000 0.000 0.000

Crystal system   monoclinic
Raw total energy   -7.902 eV/atom
Symmetry   No. 10